1.
First-principles (GGA-PBE) data for an optimized crystal structure of CaCd3S, as listed in Alexandria.

a = 5.9148 Å, b = 5.9148 Å, c = 5.9148 Å
α = 90.00°, β = 90.00°, γ = 90.00°
Closest atoms and distances in Å follow each position.
Fractional positions:
Ca 0.0000 0.0000 0.0000  6 Cd 2.96
Cd 0.0000 0.0000 0.5000  2 Ca 2.96
Cd 0.0000 0.5000 0.0000  2 Ca 2.96
Cd 0.5000 0.0000 0.0000  2 Ca 2.96
S 0.5000 0.5000 0.5000  12 Cd 4.18

size of the total moment: 0.2 μB/cell
relative energy among the computed polymorphs: 595 meV per atom
D(E_F): 4.5 states/eV/cell
ΔE_f (raw): 16.10 kcal/mol of atoms

=====

2.
First-principles (GGA-PBE) data for an optimized crystal structure of AgPRu2, as listed in Alexandria.

a = 2.7664 Å, b = 2.7664 Å, c = 9.1507 Å
α = 90.00°, β = 90.00°, γ = 118.29°
Closest atoms and distances in Å follow each position.
Fractional positions:
Ag 0.0000 0.0000 0.0000  6 Ag 2.77-2.84, 2 Ru 2.84, 2 P 2.94
P 0.5000 0.5000 0.2816  2 Ru 2.34
Ru 0.0000 0.0000 0.4843  2 P 2.34
Ru 0.5000 0.5000 0.7307  8 Ru 2.66-2.84, 2 Ag 2.84

size of the total moment: 0.6 μB/cell
relative energy among the computed polymorphs: 438 meV per atom
D(E_F): 3.9 states/eV/cell
energy of formation: 415 meV per atom

=====

Please write out number 1 again, unchanged.
First-principles (GGA-PBE) data for an optimized crystal structure of CaCd3S, as listed in Alexandria.

a = 5.9148 Å, b = 5.9148 Å, c = 5.9148 Å
α = 90.00°, β = 90.00°, γ = 90.00°
Closest atoms and distances in Å follow each position.
Fractional positions:
Ca 0.0000 0.0000 0.0000  6 Cd 2.96
Cd 0.0000 0.0000 0.5000  2 Ca 2.96
Cd 0.0000 0.5000 0.0000  2 Ca 2.96
Cd 0.5000 0.0000 0.0000  2 Ca 2.96
S 0.5000 0.5000 0.5000  12 Cd 4.18

size of the total moment: 0.2 μB/cell
relative energy among the computed polymorphs: 595 meV per atom
D(E_F): 4.5 states/eV/cell
ΔE_f (raw): 16.10 kcal/mol of atoms

=====

Question: Which value of size of the total moment does entry 2 give?
Answer: 0.6 μB/cell